[1]
VASP calculation (GGA-PBEsol) on an optimized crystal structure of Hg3C.

Formation energy from the elements ... 1023.8 meV per atom
E above lowest polymorph ... 0 meV per atom
Spin magnetization ... 0.00 μB/cell

Cell lengths 3.8226, 4.1164, 5.7355 Å; angles 68.97, 90.00, 90.00 degrees
With the nearest neighbours (Å) after each atom.
Atoms (fractional coordinates):
Hg: 0.5000 0.1585 0.6831  2 C 2.56, 2 Hg 2.84
Hg: 0.0000 0.5000 0.0000  2 C 2.06
Hg: 0.5000 0.8415 0.3169  2 C 2.56, 2 Hg 2.84
C: 0.0000 0.0000 0.0000  2 Hg 2.06

[2]
VASP calculation (GGA-PBEsol) on an optimized crystal structure of HgC.

Formation energy from the elements ... 659.9 meV per atom
E above lowest polymorph ... 0 meV per atom
Spin magnetization ... 0.00 μB/cell

Cell lengths 5.8303, 5.8303, 2.6303 Å; angles 90.00, 90.00, 120.00 degrees
With the nearest neighbours (Å) after each atom.
Atoms (fractional coordinates):
C: 0.0000 0.0000 0.0000  2 C 1.32
C: 0.0000 0.0000 0.5000  2 C 1.32
Hg: 0.3333 0.6667 0.2500  2 Hg 2.63
Hg: 0.6667 0.3333 0.7500  2 Hg 2.63

> Which of these has the highest formation energy from the elements?

Hg3C